Record 1
PrNd2Sm2Ho4: relaxed, PBE-GGA.

Computed properties:
M_tot: 0.0 μB per cell
uncorrected energy: -4.67 eV/atom

Unit cell a=18.856 b=3.638 c=9.654 alpha=90.00 beta=115.74 gamma=90.00
Space group C2/m (No. 12)
Unique sites:
Pr (0.000, 0.000, 0.000) x2
Nd (0.167, 0.500, 0.002) x4
Sm (0.147, 0.000, 0.663) x4
Ho (0.020, 0.500, 0.335) x4
Ho (0.186, 0.000, 0.337) x4

Record 2
LuZrScRe: relaxed, PBE-GGA.

Computed properties:
M_tot: 0.0 μB per cell
uncorrected energy: -7.93 eV/atom

Unit cell a=6.932 b=6.932 c=6.932 alpha=90.00 beta=90.00 gamma=90.00
Space group F-43m (No. 216)
Unique sites:
Lu (0.000, 0.000, 0.000) x4
Zr (0.000, 0.000, 0.500) x4
Sc (0.250, 0.250, 0.250) x4
Re (0.250, 0.250, 0.750) x4

Repeat the first record exactly.
PrNd2Sm2Ho4: relaxed, PBE-GGA.

Computed properties:
M_tot: 0.0 μB per cell
uncorrected energy: -4.67 eV/atom

Unit cell a=18.856 b=3.638 c=9.654 alpha=90.00 beta=115.74 gamma=90.00
Space group C2/m (No. 12)
Unique sites:
Pr (0.000, 0.000, 0.000) x2
Nd (0.167, 0.500, 0.002) x4
Sm (0.147, 0.000, 0.663) x4
Ho (0.020, 0.500, 0.335) x4
Ho (0.186, 0.000, 0.337) x4

What is the formula in the first record?
PrNd2Sm2Ho4